A plane-wave DFT calculation with PBE+U was carried out for a relaxed structure of Rb2CoSeO4.

Cell lengths 5.7786, 11.4637, 22.5819 Å; angles 90.00, 90.00, 90.00 degrees
Space group Fddd (No. 70, origin choice 2)
Asymmetric unit:
Rb (0.1250, 0.1250, 0.2914) (multiplicity 16)
Co (0.1250, 0.1250, 0.1250) (multiplicity 8)
Se (0.1250, 0.1250, 0.6250) (multiplicity 8)
O (0.1011, 0.3736, 0.3194) (multiplicity 32)

Calculated total energy ... -4.78 eV per atom
Magnetization ... 2.30 μB per formula unit
Calculated volume ... 23.37 Å³/atom